Density functional theory data (PBE) for crystalline Li2MnPbC at its relaxed geometry.

Lattice parameters (Å, degrees): 4.9507 3.7643 4.9507 90.00 90.00 90.00
With the nearest neighbours (Å) after each atom.
Atoms (fractional coordinates):
1 Pb 0.5000 0.5000 0.5000  8 Li 3.11
2 C 0.0000 0.5000 0.0000  2 Mn 1.88
3 Mn 0.0000 0.0000 0.0000  2 C 1.88
4 Li 0.0000 0.0000 0.5000  2 Mn 2.48
5 Li 0.5000 0.0000 0.0000  2 Mn 2.48

Calculated values
Its density is 5.2 g/cm³. The value obtained for the size of the total moment is 3.1 Bohr magnetons per cell. The space group is P4/mmm, No. 123. The formation energy is 313.6 kJ/mol of formula units. The calculation puts the raw total energy at -0.1667 Ha/atom.